a) Density functional theory data (PBE) for crystalline Ag2HgPd at its relaxed geometry.

Cell and atoms, written as POSCAR:
```
Ag2HgPd
1.0
-3.805 3.805 2.763
3.805 -3.805 2.763
3.805 3.805 -2.763
Ag Hg Pd
4 2 2
direct
0.114 0.125 0.489
0.375 0.886 0.011
0.636 0.625 0.511
0.875 0.364 0.989
0.250 0.750 0.500
0.500 0.500 0.000
0.000 0.000 0.000
0.750 0.250 0.500
```

- M_tot: 0.00 μB per atom

b) Density functional theory data (PBE) for crystalline Ag2HgPd at its relaxed geometry.

Cell and atoms, written as POSCAR:
```
Ag2HgPd
1.0
5.891 0.000 0.000
0.000 4.121 0.000
-0.156 0.000 5.967
Ag Hg Pd
4 2 2
direct
0.113 0.250 0.376
0.376 0.750 0.624
0.624 0.250 0.376
0.887 0.750 0.624
0.354 0.750 0.127
0.646 0.250 0.873
0.134 0.250 0.872
0.866 0.750 0.128
```

- M_tot: 0.00 μB per atom

Stability, highest: b)

a) Density functional theory data (PBE) for crystalline Ag2Hg2Pd3 at its relaxed geometry.

Cell and atoms, written as POSCAR:
```
Ag2Hg2Pd3
1.0
2.319 1.339 6.711
-2.319 1.339 6.711
0.000 -2.678 6.711
Ag Hg Pd
2 2 3
direct
0.139 0.139 0.139
0.861 0.861 0.861
0.420 0.420 0.420
0.580 0.580 0.580
0.000 0.000 0.000
0.281 0.281 0.281
0.719 0.719 0.719
```

- M_tot: 0.00 μB per atom

b) Density functional theory data (PBE) for crystalline Ag2Hg2Pd3 at its relaxed geometry.

Cell and atoms, written as POSCAR:
```
Ag2Hg2Pd3
1.0
4.536 -2.150 0.000
4.536 2.150 0.000
-2.772 0.000 6.736
Ag Hg Pd
2 2 3
direct
0.245 0.245 0.140
0.755 0.755 0.860
0.013 0.013 0.721
0.987 0.987 0.279
0.284 0.284 0.618
0.500 0.500 0.000
0.716 0.716 0.382
```

- M_tot: 0.00 μB per atom

Stability, highest: a)

a) Density functional theory data (PBE) for crystalline Ag3Hg2Pd7 at its relaxed geometry.

Cell and atoms, written as POSCAR:
```
Ag3Hg2Pd7
1.0
2.341 -10.347 0.000
2.341 10.347 0.000
0.000 0.000 4.655
Ag Hg Pd
3 2 7
direct
0.000 0.000 0.000
0.150 0.850 0.000
0.850 0.150 0.000
0.353 0.647 0.500
0.647 0.353 0.500
0.073 0.927 0.500
0.218 0.782 0.500
0.429 0.571 0.000
0.500 0.500 0.500
0.571 0.429 0.000
0.782 0.218 0.500
0.927 0.073 0.500
```

- M_tot: 0.00 μB per atom

b) Density functional theory data (PBE) for crystalline Ag3Hg2Pd7 at its relaxed geometry.

Cell and atoms, written as POSCAR:
```
Ag3Hg2Pd7
1.0
4.685 0.000 0.000
0.000 2.857 0.000
-2.340 0.000 16.200
Ag Hg Pd
3 2 7
direct
0.000 0.000 0.000
0.303 0.500 0.610
0.697 0.500 0.390
0.156 0.000 0.288
0.844 0.000 0.712
0.088 0.500 0.854
0.227 0.000 0.454
0.419 0.000 0.144
0.500 0.500 0.000
0.581 0.000 0.856
0.773 0.000 0.546
0.912 0.500 0.146
```

- M_tot: 0.00 μB per atom

Stability, highest: b)

a) Density functional theory data (PBE) for crystalline Ag2Hg2Pd5 at its relaxed geometry.

Cell and atoms, written as POSCAR:
```
Ag2Hg2Pd5
1.0
8.348 0.000 0.000
0.000 2.335 4.017
0.000 -2.335 4.017
Ag Hg Pd
2 2 5
direct
0.174 0.000 0.000
0.826 0.000 0.000
0.000 0.667 0.667
0.500 0.334 0.334
0.166 0.334 0.334
0.333 0.667 0.667
0.500 0.000 0.000
0.667 0.667 0.667
0.834 0.334 0.334
```

- M_tot: 0.00 μB per atom

b) Density functional theory data (PBE) for crystalline Ag2Hg2Pd5 at its relaxed geometry.

Cell and atoms, written as POSCAR:
```
Ag2Hg2Pd5
1.0
4.939 0.000 0.000
0.787 4.984 0.000
0.863 1.578 6.239
Ag Hg Pd
2 2 5
direct
0.213 0.117 0.061
0.787 0.883 0.939
0.435 0.222 0.618
0.565 0.778 0.382
0.000 0.000 0.500
0.114 0.553 0.277
0.336 0.664 0.836
0.664 0.336 0.164
0.886 0.447 0.723
```

- M_tot: 0.00 μB per atom

Stability, highest: b)

a) Density functional theory data (PBE) for crystalline AgHg2Pd3 at its relaxed geometry.

Cell and atoms, written as POSCAR:
```
AgHg2Pd3
1.0
2.177 -6.536 0.000
2.177 6.536 0.000
0.000 0.000 7.396
Ag Hg Pd
2 4 6
direct
0.170 0.830 0.000
0.830 0.170 0.000
0.167 0.833 0.500
0.500 0.500 0.000
0.500 0.500 0.500
0.833 0.167 0.500
0.000 0.000 0.247
0.000 0.000 0.753
0.333 0.667 0.249
0.333 0.667 0.751
0.667 0.333 0.249
0.667 0.333 0.751
```

- M_tot: 0.00 μB per atom

b) Density functional theory data (PBE) for crystalline AgHg2Pd3 at its relaxed geometry.

Cell and atoms, written as POSCAR:
```
AgHg2Pd3
1.0
7.464 -2.054 0.000
7.464 2.054 0.000
-4.554 0.000 6.924
Ag Hg Pd
2 4 6
direct
0.082 0.082 0.210
0.918 0.918 0.790
0.244 0.244 0.630
0.415 0.415 0.064
0.585 0.585 0.936
0.756 0.756 0.370
0.079 0.079 0.700
0.245 0.245 0.121
0.415 0.415 0.533
0.585 0.585 0.467
0.755 0.755 0.879
0.921 0.921 0.300
```

- M_tot: 0.00 μB per atom

Stability, highest: a)

a) Density functional theory data (PBE) for crystalline Ag2HgPd8 at its relaxed geometry.

Cell and atoms, written as POSCAR:
```
Ag2HgPd8
1.0
3.665 -7.103 0.000
3.665 7.103 0.000
-3.218 0.000 3.668
Ag Hg Pd
2 1 8
direct
0.183 0.817 0.000
0.817 0.183 0.000
0.500 0.500 0.500
0.040 0.040 0.288
0.119 0.398 0.768
0.308 0.692 0.500
0.398 0.119 0.768
0.602 0.881 0.232
0.692 0.308 0.500
0.881 0.602 0.232
0.960 0.960 0.712
```

- M_tot: 0.00 μB per atom

b) Density functional theory data (PBE) for crystalline Ag2HgPd8 at its relaxed geometry.

Cell and atoms, written as POSCAR:
```
Ag2HgPd8
1.0
-1.915 4.225 5.860
1.915 -4.225 5.860
1.915 4.225 -5.860
Ag Hg Pd
2 1 8
direct
0.145 0.145 0.000
0.855 0.855 0.000
0.500 0.500 0.000
0.085 0.332 0.753
0.257 0.000 0.257
0.322 0.822 0.500
0.421 0.668 0.753
0.579 0.332 0.247
0.678 0.178 0.500
0.743 0.000 0.743
0.915 0.668 0.247
```

- M_tot: 0.00 μB per atom

Stability, highest: b)